Here is a relaxed CaSnHgPb crystal from the Alexandria database. Energies are from PBE.

Summary:
Excess energy over the best structure of this formula in the dataset = 0 meV per atom
Density = 8.6 Mg/m³
Energy of formation from the pure elements = -1.4 eV/f.u.

Lattice parameters (Å, degrees): 4.712 4.802 4.808 90.00 90.00 90.00
Element x y z (fractional)
Ca1 0.000 0.000 0.000
Sn1 0.500 0.000 0.500
Hg1 0.000 0.500 0.500
Pb1 0.500 0.500 0.000